[1]
This record from the Alexandria database describes an optimized crystal structure of K3Bi2I9. The functional is PBEsol.

- formation energy without anion corrections (eV per atom) = -0.872

The structure in CIF format:
```
data_K3Bi2I9
_chemical_formula_sum 'K12 Bi8 I36'
_symmetry_space_group_name_H-M 'C 1 2/c 1'
_symmetry_Int_Tables_number 15
_cell_length_a 8.1244
_cell_length_b 14.4686
_cell_length_c 20.9857
_cell_angle_alpha 90.00
_cell_angle_beta 96.08
_cell_angle_gamma 90.00
loop_
_symmetry_equiv_pos_as_xyz
'x,y,z'
'-x,-y,-z'
'-x,y,-z+1/2'
'x,-y,z+1/2'
'x+1/2,y+1/2,z'
'-x+1/2,-y+1/2,-z'
'-x+1/2,y+1/2,-z+1/2'
'x+1/2,-y+1/2,z+1/2'
loop_
_atom_site_label
_atom_site_type_symbol
_atom_site_fract_x
_atom_site_fract_y
_atom_site_fract_z
K1 K 0.0000 0.0503 0.2500
K2 K 0.0199 0.2720 0.5648
Bi1 Bi 0.0454 0.3420 0.1559
I1 I 0.0000 0.4912 0.7500
I2 I 0.1087 0.1653 0.0876
I3 I 0.1624 0.0643 0.8891
I4 I 0.1854 0.4127 0.4511
I5 I 0.2443 0.2481 0.7195
```



[2]
This record from the Alexandria database describes an optimized crystal structure of KBiI3. The functional is PBEsol.

- formation energy without anion corrections (eV per atom) = 0.128

The structure in CIF format:
```
data_KBiI3
_chemical_formula_sum 'K1 Bi1 I3'
_symmetry_space_group_name_H-M 'P m -3 m'
_symmetry_Int_Tables_number 221
_symmetry_space_group_name_Hall '-P 4 2 3'
_cell_length_a 6.0786
_cell_length_b 6.0786
_cell_length_c 6.0786
_cell_angle_alpha 90.00
_cell_angle_beta 90.00
_cell_angle_gamma 90.00
loop_
_atom_site_label
_atom_site_type_symbol
_atom_site_fract_x
_atom_site_fract_y
_atom_site_fract_z
K1 K 0.0000 0.0000 0.0000
Bi1 Bi 0.5000 0.5000 0.5000
I1 I 0.0000 0.0000 0.5000
```



[3]
This record from the Alexandria database describes an optimized crystal structure of K2BiI. The functional is PBEsol.

- formation energy without anion corrections (eV per atom) = -0.484

The structure in CIF format:
```
data_K2BiI
_chemical_formula_sum 'K8 Bi4 I4'
_symmetry_space_group_name_H-M 'I -4 2 d'
_symmetry_Int_Tables_number 122
_symmetry_space_group_name_Hall 'I -4 2bw'
_cell_length_a 9.4929
_cell_length_b 9.4929
_cell_length_c 6.9697
_cell_angle_alpha 90.00
_cell_angle_beta 90.00
_cell_angle_gamma 90.00
loop_
_atom_site_label
_atom_site_type_symbol
_atom_site_fract_x
_atom_site_fract_y
_atom_site_fract_z
K1 K 0.2354 0.7500 0.1250
Bi1 Bi 0.0000 0.0000 0.5000
I1 I 0.0000 0.0000 0.0000
```



[4]
This record from the Alexandria database describes an optimized crystal structure of K2LiBiI6. The functional is PBEsol.

- formation energy without anion corrections (eV per atom) = -0.936

The structure in CIF format:
```
data_K2LiBiI6
_chemical_formula_sum 'K8 Li4 Bi4 I24'
_symmetry_space_group_name_H-M 'F m -3 m'
_symmetry_Int_Tables_number 225
_symmetry_space_group_name_Hall '-F 4 2 3'
_cell_length_a 11.8120
_cell_length_b 11.8120
_cell_length_c 11.8120
_cell_angle_alpha 90.00
_cell_angle_beta 90.00
_cell_angle_gamma 90.00
loop_
_atom_site_label
_atom_site_type_symbol
_atom_site_fract_x
_atom_site_fract_y
_atom_site_fract_z
K1 K 0.2500 0.2500 0.2500
Li1 Li 0.0000 0.0000 0.0000
Bi1 Bi 0.0000 0.0000 0.5000
I1 I 0.0000 0.0000 0.2438
```



[5]
This record from the Alexandria database describes an optimized crystal structure of KBiI2N. The functional is PBEsol.

- formation energy without anion corrections (eV per atom) = -0.018

The structure in CIF format:
```
data_KBiI2N
_chemical_formula_sum 'K1 Bi1 I2 N1'
_symmetry_space_group_name_H-M 'P 4/m m m'
_symmetry_Int_Tables_number 123
_symmetry_space_group_name_Hall '-P 4 2'
_cell_length_a 6.3672
_cell_length_b 6.3672
_cell_length_c 4.2007
_cell_angle_alpha 90.00
_cell_angle_beta 90.00
_cell_angle_gamma 90.00
loop_
_atom_site_label
_atom_site_type_symbol
_atom_site_fract_x
_atom_site_fract_y
_atom_site_fract_z
K1 K 0.0000 0.0000 0.0000
Bi1 Bi 0.5000 0.5000 0.5000
I1 I 0.0000 0.5000 0.5000
N1 N 0.5000 0.5000 0.0000
```



[6]
This record from the Alexandria database describes an optimized crystal structure of KBiIN2. The functional is PBEsol.

- formation energy without anion corrections (eV per atom) = 1.877

The structure in CIF format:
```
data_KBiIN2
_chemical_formula_sum 'K1 Bi1 I1 N2'
_symmetry_space_group_name_H-M 'P 4/m m m'
_symmetry_Int_Tables_number 123
_symmetry_space_group_name_Hall '-P 4 2'
_cell_length_a 4.9234
_cell_length_b 4.9234
_cell_length_c 6.3653
_cell_angle_alpha 90.00
_cell_angle_beta 90.00
_cell_angle_gamma 90.00
loop_
_atom_site_label
_atom_site_type_symbol
_atom_site_fract_x
_atom_site_fract_y
_atom_site_fract_z
K1 K 0.0000 0.0000 0.0000
Bi1 Bi 0.5000 0.5000 0.5000
I1 I 0.0000 0.0000 0.5000
N1 N 0.0000 0.5000 0.0000
```